Record 1
## DyThIn (PBE)

Data for a geometry-optimized DyThIn structure.

Results
Energy of formation in meV per atom: -195.4
SG: I4mm (107)
Excess energy over the best structure of this formula in the dataset in meV per atom: 73
Uncorrected energy in eV for the cell shown: -30.7
Theoretical density in Mg/m³: 9.4

Cell and atoms, written as POSCAR:
```
DyThIn
1.0
3.5922 0.0000 0.0000
0.0000 3.5922 0.0000
0.0000 0.0000 13.8723
Dy Th In
2 2 2
Cartesian
0.0000 0.0000 0.0000
1.7961 1.7961 6.9361
0.0000 0.0000 4.3514
1.7961 1.7961 11.2876
0.0000 0.0000 9.0182
1.7961 1.7961 2.0821
```

Record 2
## Tb3AgRh2 (PBE)

Data for a geometry-optimized Tb3AgRh2 structure.

Results
Energy of formation in meV per atom: -674.6
SG: P4/mmm (123)
Uncorrected energy in eV for the cell shown: -35.5
Theoretical density in Mg/m³: 10.0

Cell and atoms, written as POSCAR:
```
Tb3AgRh2
1.0
3.4611 0.0000 0.0000
0.0000 3.4611 0.0000
0.0000 0.0000 10.9073
Tb Ag Rh
3 1 2
Cartesian
0.0000 0.0000 0.0000
0.0000 0.0000 3.3979
0.0000 0.0000 7.5094
1.7305 1.7305 5.4537
1.7305 1.7305 1.7633
1.7305 1.7305 9.1441
```

Record 3
## Tm6Mg2Cd (PBE)

Data for a geometry-optimized Tm6Mg2Cd structure.

Results
Energy of formation in meV per atom: -44.2
SG: P4_2/mnm (136)
Uncorrected energy in eV for the cell shown: -62.7
Theoretical density in Mg/m³: 7.8

Cell and atoms, written as POSCAR:
```
Tm6Mg2Cd
1.0
9.9363 0.0000 0.0000
0.0000 9.9363 0.0000
0.0000 0.0000 5.0886
Tm Mg Cd
12 4 2
Cartesian
0.1991 3.2400 0.0000
1.2825 8.6537 2.5443
1.7281 5.1672 2.5443
3.2400 0.1991 0.0000
3.6856 3.6856 0.0000
4.7691 8.2081 2.5443
5.1672 1.7281 2.5443
6.2507 6.2507 0.0000
6.6963 9.7372 0.0000
8.2081 4.7691 2.5443
8.6537 1.2825 2.5443
9.7372 6.6963 0.0000
1.9529 1.9529 2.5443
3.0152 6.9210 0.0000
6.9210 3.0152 0.0000
7.9834 7.9834 2.5443
0.0000 0.0000 0.0000
4.9681 4.9681 2.5443
```

Record 4
## Cs12Se3I5 (PBE)

Data for a geometry-optimized Cs12Se3I5 structure.

Results
SG: Ia-3d (230)
Formation energy without anion corrections in meV per atom: -1129
Excess energy over the best structure of this formula in the dataset in meV per atom: 101
Uncorrected energy in eV for the cell shown: -204.1
Theoretical density in Mg/m³: 3.1

Cell and atoms, written as POSCAR:
```
Cs12Se3I5
1.0
-10.9166 10.9166 10.9166
10.9166 -10.9166 10.9166
10.9166 10.9166 -10.9166
Cs Se I
48 12 20
Cartesian
3.3499 -0.3581 1.8117
13.0250 7.2700 -5.8164
10.5585 -1.8117 3.3499
16.7331 -2.1084 3.6466
14.2665 0.3581 1.8117
13.0250 -3.6466 5.8164
1.8117 3.3499 -0.3581
14.5632 5.1002 -2.1084
7.2700 5.8164 -2.1084
9.1049 3.3499 0.3581
-0.3581 1.8117 3.3499
5.8164 -2.1084 7.2700
10.5585 9.1049 -3.3499
5.8164 2.1084 3.6466
9.1049 -3.3499 10.5585
7.2700 -5.8164 13.0250
3.6466 5.8164 2.1084
12.7283 7.5667 0.3581
3.3499 10.5585 -1.8117
13.0250 3.6466 5.1002
5.8164 13.0250 -3.6466
10.5585 1.8117 7.5667
2.1084 3.6466 5.8164
3.3499 0.3581 9.1049
7.5667 10.5585 1.8117
8.8082 7.2700 5.1002
0.3581 9.1049 3.3499
5.1002 -2.1084 14.5632
-2.1084 7.2700 5.8164
7.5667 0.3581 12.7283
-1.8117 3.3499 10.5585
7.2700 5.1002 8.8082
3.6466 16.7331 -2.1084
1.8117 14.2665 0.3581
5.1002 8.8082 7.2700
0.3581 1.8117 14.2665
5.1002 13.0250 3.6466
11.2747 9.1049 7.5667
1.8117 7.5667 10.5585
3.6466 5.1002 13.0250
-3.6466 5.8164 13.0250
9.1049 7.5667 11.2747
-2.1084 14.5632 5.1002
-3.3499 10.5585 9.1049
-5.8164 13.0250 7.2700
0.3581 12.7283 7.5667
-2.1084 3.6466 16.7331
7.5667 11.2747 9.1049
5.4583 2.7292 0.0000
10.9166 5.4583 -2.7292
2.7292 0.0000 5.4583
13.6458 0.0000 5.4583
0.0000 5.4583 2.7292
5.4583 -2.7292 10.9166
5.4583 13.6458 0.0000
10.9166 5.4583 8.1875
-2.7292 10.9166 5.4583
8.1875 10.9166 5.4583
0.0000 5.4583 13.6458
5.4583 8.1875 10.9166
0.0000 0.0000 0.0000
5.4583 5.4583 -5.4583
5.4583 -5.4583 5.4583
10.9166 0.0000 0.0000
16.3749 2.7292 0.0000
10.9166 -5.4583 8.1875
8.1875 10.9166 -5.4583
8.1875 0.0000 5.4583
5.4583 8.1875 0.0000
10.9166 5.4583 2.7292
-5.4583 5.4583 5.4583
0.0000 10.9166 0.0000
0.0000 0.0000 10.9166
5.4583 5.4583 5.4583
0.0000 5.4583 8.1875
5.4583 2.7292 10.9166
2.7292 10.9166 5.4583
2.7292 0.0000 16.3749
0.0000 16.3749 2.7292
-5.4583 8.1875 10.9166
```

Q: Which formula does entry 4 have?
A: Cs12Se3I5

Q: The highest uncorrected energy belongs to which entry?
A: DyThIn

Q: What is the uncorrected energy in the second record?
A: -35.5 eV for the cell shown

Repeat the third record exactly.
## Tm6Mg2Cd (PBE)

Data for a geometry-optimized Tm6Mg2Cd structure.

Results
Energy of formation in meV per atom: -44.2
SG: P4_2/mnm (136)
Uncorrected energy in eV for the cell shown: -62.7
Theoretical density in Mg/m³: 7.8

Cell and atoms, written as POSCAR:
```
Tm6Mg2Cd
1.0
9.9363 0.0000 0.0000
0.0000 9.9363 0.0000
0.0000 0.0000 5.0886
Tm Mg Cd
12 4 2
Cartesian
0.1991 3.2400 0.0000
1.2825 8.6537 2.5443
1.7281 5.1672 2.5443
3.2400 0.1991 0.0000
3.6856 3.6856 0.0000
4.7691 8.2081 2.5443
5.1672 1.7281 2.5443
6.2507 6.2507 0.0000
6.6963 9.7372 0.0000
8.2081 4.7691 2.5443
8.6537 1.2825 2.5443
9.7372 6.6963 0.0000
1.9529 1.9529 2.5443
3.0152 6.9210 0.0000
6.9210 3.0152 0.0000
7.9834 7.9834 2.5443
0.0000 0.0000 0.0000
4.9681 4.9681 2.5443
```